## Al4As5 (PBE-GGA)

Data for a relaxed structure of Al4As5.

Output
The calculation puts the formation enthalpy at 0 K at 201 meV/atom. As for the density of states at the Fermi level: 0.31 states/eV/atom. The magnetic moment is 0.00 μB/cell.

Unit cell a=7.282 b=7.282 c=7.282 alpha=92.96 beta=92.96 gamma=153.72
Positions (direct):
Al  0.320  0.000  0.320
Al  0.680  0.000  0.680
Al  0.000  0.680  0.680
Al  0.000  0.320  0.320
As  0.000  0.000  0.000
As  0.324  0.676  0.000
As  0.676  0.324  0.000
As  0.676  0.676  0.352
As  0.324  0.324  0.648